1.
This record from Alexandria describes YBiSb2Te after structural relaxation. The functional is PBE.

Cell lengths 5.816, 5.816, 5.697 Å; angles 90.00, 90.00, 90.00 degrees
Sites, in units of the cell vectors:
Y 0.000 0.000 0.000
Bi 0.500 0.500 0.500
Sb 0.000 0.500 0.000
Sb 0.500 0.000 0.000
Te 0.000 0.000 0.500

* relative energy among the computed polymorphs: 0 meV/atom
* E_form (uncorrected): 0.2716 eV/atom
* N(E_F): 6.73 states/eV per cell



2.
This record from Alexandria describes Y6BiSb2Te3 after structural relaxation. The functional is PBE.

Cell lengths 9.843, 9.843, 8.791 Å; angles 102.94, 102.94, 25.81 degrees
Sites, in units of the cell vectors:
Y 0.004 0.004 0.251
Y 0.330 0.330 0.423
Y 0.332 0.332 0.907
Y 0.668 0.668 0.093
Y 0.670 0.670 0.577
Y 0.996 0.996 0.749
Bi 0.500 0.500 0.000
Sb 0.167 0.167 0.334
Sb 0.833 0.833 0.666
Te 0.165 0.165 0.833
Te 0.500 0.500 0.500
Te 0.835 0.835 0.167

* E_form (uncorrected): -1.2312 eV/atom
* N(E_F): 5.36 states/eV per cell



3.
This record from Alexandria describes Y6Bi3SbTe2 after structural relaxation. The functional is PBE.

Cell lengths 9.909, 9.909, 8.851 Å; angles 102.86, 102.86, 25.87 degrees
Sites, in units of the cell vectors:
Y 0.001 0.001 0.256
Y 0.335 0.335 0.915
Y 0.337 0.337 0.421
Y 0.663 0.663 0.579
Y 0.665 0.665 0.085
Y 0.999 0.999 0.744
Bi 0.169 0.169 0.334
Bi 0.500 0.500 0.000
Bi 0.831 0.831 0.666
Sb 0.500 0.500 0.500
Te 0.167 0.167 0.835
Te 0.833 0.833 0.165

* E_form (uncorrected): -1.1064 eV/atom
* N(E_F): 4.21 states/eV per cell



4.
This record from Alexandria describes Y8BiSb3Te4 after structural relaxation. The functional is PBE.

Cell lengths 8.790, 8.790, 8.790 Å; angles 59.99, 59.99, 59.99 degrees
Sites, in units of the cell vectors:
Y 0.242 0.750 0.750
Y 0.246 0.246 0.246
Y 0.250 0.250 0.758
Y 0.250 0.758 0.250
Y 0.750 0.242 0.750
Y 0.750 0.750 0.242
Y 0.754 0.754 0.754
Y 0.758 0.250 0.250
Bi 0.500 0.500 0.500
Sb 0.000 0.000 0.500
Sb 0.000 0.500 0.000
Sb 0.500 0.000 0.000
Te 0.000 0.000 0.000
Te 0.000 0.500 0.500
Te 0.500 0.000 0.500
Te 0.500 0.500 0.000

* E_form (uncorrected): -1.2441 eV/atom
* N(E_F): 7.65 states/eV per cell



5.
This record from Alexandria describes Y6Bi3Sb2Te after structural relaxation. The functional is PBE.

Cell lengths 9.901, 9.901, 8.870 Å; angles 102.87, 102.87, 25.87 degrees
Sites, in units of the cell vectors:
Y 0.002 0.002 0.254
Y 0.332 0.332 0.421
Y 0.332 0.332 0.911
Y 0.668 0.668 0.089
Y 0.668 0.668 0.579
Y 0.998 0.998 0.746
Bi 0.165 0.165 0.833
Bi 0.500 0.500 0.500
Bi 0.835 0.835 0.167
Sb 0.166 0.166 0.332
Sb 0.834 0.834 0.668
Te 0.500 0.500 0.000

* E_form (uncorrected): -1.0799 eV/atom
* N(E_F): 2.14 states/eV per cell



6.
This record from Alexandria describes YBiSb2Te after structural relaxation. The functional is PBE.

Cell lengths 5.688, 5.688, 5.853 Å; angles 90.00, 90.00, 90.00 degrees
Sites, in units of the cell vectors:
Y 0.000 0.000 0.000
Bi 0.500 0.500 0.500
Sb 0.000 0.500 0.500
Sb 0.500 0.000 0.500
Te 0.500 0.500 0.000

* relative energy among the computed polymorphs: 181 meV/atom
* E_form (uncorrected): 0.4528 eV/atom
* N(E_F): 4.24 states/eV per cell



7.
This record from Alexandria describes ZnBiSbTe2 after structural relaxation. The functional is PBE.

Cell lengths 5.999, 5.999, 5.897 Å; angles 90.00, 90.00, 90.00 degrees
Sites, in units of the cell vectors:
Zn 0.000 0.000 0.000
Bi 0.500 0.500 0.500
Sb 0.500 0.500 0.000
Te 0.000 0.500 0.500
Te 0.500 0.000 0.500

* relative energy among the computed polymorphs: 401 meV/atom
* E_form (uncorrected): 0.7606 eV/atom
* N(E_F): 6.38 states/eV per cell



8.
This record from Alexandria describes ZnBiSb2Te after structural relaxation. The functional is PBE.

Cell lengths 5.881, 5.881, 6.021 Å; angles 90.00, 90.00, 90.00 degrees
Sites, in units of the cell vectors:
Zn 0.000 0.000 0.000
Bi 0.500 0.500 0.500
Sb 0.000 0.500 0.500
Sb 0.500 0.000 0.500
Te 0.500 0.500 0.000

* relative energy among the computed polymorphs: 466 meV/atom
* E_form (uncorrected): 0.8931 eV/atom
* N(E_F): 5.62 states/eV per cell



9.
This record from Alexandria describes ZnBiSbTe2 after structural relaxation. The functional is PBE.

Cell lengths 5.309, 5.309, 5.255 Å; angles 90.00, 90.00, 90.00 degrees
Sites, in units of the cell vectors:
Zn 0.000 0.000 0.000
Bi 0.500 0.500 0.500
Sb 0.000 0.000 0.500
Te 0.000 0.500 0.000
Te 0.500 0.000 0.000

* relative energy among the computed polymorphs: 0 meV/atom
* E_form (uncorrected): 0.3596 eV/atom
* N(E_F): 3.56 states/eV per cell



10.
This record from Alexandria describes ZnBiSb2Te after structural relaxation. The functional is PBE.

Cell lengths 5.220, 5.220, 5.400 Å; angles 90.00, 90.00, 90.00 degrees
Sites, in units of the cell vectors:
Zn 0.000 0.000 0.000
Bi 0.500 0.500 0.500
Sb 0.000 0.500 0.000
Sb 0.500 0.000 0.000
Te 0.000 0.000 0.500

* relative energy among the computed polymorphs: 0 meV/atom
* E_form (uncorrected): 0.4274 eV/atom
* N(E_F): 5.00 states/eV per cell



11.
This record from Alexandria describes Th3Bi2Sb after structural relaxation. The functional is PBE.

Cell lengths 7.916, 7.916, 7.908 Å; angles 99.60, 99.60, 120.15 degrees
Sites, in units of the cell vectors:
Th 0.000 0.500 0.000
Th 0.155 0.314 0.495
Th 0.314 0.155 0.995
Th 0.500 0.000 0.500
Th 0.686 0.845 0.005
Th 0.845 0.686 0.505
Bi 0.256 0.744 0.750
Bi 0.418 0.582 0.250
Bi 0.582 0.418 0.750
Bi 0.744 0.256 0.250
Sb 0.088 0.912 0.250
Sb 0.912 0.088 0.750

* E_form (uncorrected): -0.6759 eV/atom
* N(E_F): 9.47 states/eV per cell



12.
This record from Alexandria describes Th2BiSb4 after structural relaxation. The functional is PBE.

Cell lengths 4.375, 4.375, 11.627 Å; angles 90.00, 90.00, 90.00 degrees
Sites, in units of the cell vectors:
Th 0.000 0.500 0.214
Th 0.500 0.000 0.786
Bi 0.000 0.000 0.500
Sb 0.000 0.000 0.000
Sb 0.000 0.500 0.706
Sb 0.500 0.000 0.294
Sb 0.500 0.500 0.000

* E_form (uncorrected): -0.5295 eV/atom
* N(E_F): 4.44 states/eV per cell



Number 1: DFT total energy -20.37 eV/cell, ρ 5.8 Mg/m³. Number 2: DFT total energy -75.11 eV/cell, ρ 6.3 Mg/m³. Number 3: DFT total energy -74.11 eV/cell, ρ 6.9 Mg/m³. Number 4: DFT total energy -100.43 eV/cell, ρ 6.2 Mg/m³. Number 5: DFT total energy -74.77 eV/cell, ρ 6.9 Mg/m³. Number 6: DFT total energy -19.47 eV/cell, ρ 5.9 Mg/m³. Number 7: DFT total energy -11.76 eV/cell, ρ 5.1 Mg/m³. Number 8: DFT total energy -12.08 eV/cell, ρ 5.1 Mg/m³. Number 9: DFT total energy -13.76 eV/cell, ρ 7.3 Mg/m³. Number 10: DFT total energy -14.40 eV/cell, ρ 7.3 Mg/m³. Number 11: DFT total energy -76.40 eV/cell, ρ 10.2 Mg/m³. Number 12: DFT total energy -38.92 eV/cell, ρ 8.7 Mg/m³.